No. 1
! SCAN NiMoO2F, PBEsol geometry; values from VASP
&SYSTEM
  ibrav = 0, nat = 5, ntyp = 4
/
ATOMIC_SPECIES
Ni 58.69 Ni.upf
Mo 95.94 Mo.upf
O 16.00 O.upf
F 19.00 F.upf
ATOMIC_POSITIONS angstrom
Ni -2.328 -1.081 2.201
Mo 0.000 0.000 0.000
O 0.393 -1.005 1.568
O -1.398 -1.218 -0.430
F -1.322 1.142 1.063
CELL_PARAMETERS angstrom
-2.796 -2.436 -0.861
0.786 -2.010 3.136
-2.645 2.284 2.127
! - ΔE_f (raw): -1.054 eV per atom
! - Space group: P4/mmm
! - Total moment: 1.2 Bohr magnetons per cell



No. 2
! SCAN MoO2F2, PBEsol geometry; values from VASP
&SYSTEM
  ibrav = 0, nat = 5, ntyp = 3
/
ATOMIC_SPECIES
Mo 95.94 Mo.upf
O 16.00 O.upf
F 19.00 F.upf
ATOMIC_POSITIONS angstrom
Mo 1.473 2.168 2.168
O 0.000 0.000 0.000
O 1.473 0.000 0.000
F 0.000 0.000 2.168
F 0.000 2.168 0.000
CELL_PARAMETERS angstrom
2.947 0.000 0.000
0.000 4.336 0.000
0.000 0.000 4.336
! - ΔE_f (raw): 0.419 eV per atom
! - Space group: P4/mmm
! - Total moment: 3.1 Bohr magnetons per cell



No. 3
! SCAN MoOsOF2, PBEsol geometry; values from VASP
&SYSTEM
  ibrav = 0, nat = 5, ntyp = 4
/
ATOMIC_SPECIES
Mo 95.94 Mo.upf
Os 190.23 Os.upf
O 16.00 O.upf
F 19.00 F.upf
ATOMIC_POSITIONS angstrom
Mo 1.852 2.187 2.187
Os 0.000 0.000 0.000
O 1.852 0.000 0.000
F 0.000 0.000 2.187
F 0.000 2.187 0.000
CELL_PARAMETERS angstrom
3.705 0.000 0.000
0.000 4.374 0.000
0.000 0.000 4.374
! - ΔE_f (raw): -0.096 eV per atom
! - Space group: P4/mmm
! - Total moment: 4.5 Bohr magnetons per cell



No. 4
! SCAN MoPbO2F, PBEsol geometry; values from VASP
&SYSTEM
  ibrav = 0, nat = 5, ntyp = 4
/
ATOMIC_SPECIES
Pb 207.20 Pb.upf
Mo 95.94 Mo.upf
O 16.00 O.upf
F 19.00 F.upf
ATOMIC_POSITIONS angstrom
Pb 0.000 0.000 0.000
Mo -1.584 -3.031 1.490
O 0.956 -1.335 1.369
O -0.737 -1.670 -1.113
F -1.804 -0.026 1.233
CELL_PARAMETERS angstrom
-1.474 -3.340 -2.226
1.912 -2.669 2.739
-3.607 -0.053 2.467
! - ΔE_f (raw): -0.238 eV per atom
! - Space group: P4/mmm
! - Total moment: 4.5 Bohr magnetons per cell



No. 5
! SCAN Rb2MoO2F4, PBEsol geometry; values from VASP
&SYSTEM
  ibrav = 0, nat = 18, ntyp = 4
/
ATOMIC_SPECIES
Rb 85.47 Rb.upf
Mo 95.94 Mo.upf
O 16.00 O.upf
F 19.00 F.upf
ATOMIC_POSITIONS angstrom
Rb 2.962 5.272 0.676
Rb -0.041 1.757 6.367
Rb -0.105 5.272 3.219
Rb 2.898 1.757 3.824
Mo 3.027 5.272 5.417
Mo 0.024 1.757 1.627
O 1.120 0.432 1.641
O -1.883 6.598 5.403
O -1.883 3.947 5.403
O 1.120 3.083 1.641
F 5.720 5.272 0.250
F 2.717 1.757 6.793
F 1.425 6.547 5.317
F 4.428 0.483 1.726
F 4.428 3.032 1.726
F 1.425 3.998 5.317
F 2.814 5.272 3.478
F -0.189 1.757 3.566
CELL_PARAMETERS angstrom
6.006 0.000 0.000
0.000 7.030 0.000
-3.003 0.000 7.043
! - ΔE_f (raw): -2.756 eV per atom
! - Space group: Ama2
! - Total moment: 0.0 Bohr magnetons per cell



No. 6
! SCAN Rb2MoO2F4, PBEsol geometry; values from VASP
&SYSTEM
  ibrav = 0, nat = 18, ntyp = 4
/
ATOMIC_SPECIES
Rb 85.47 Rb.upf
Mo 95.94 Mo.upf
O 16.00 O.upf
F 19.00 F.upf
ATOMIC_POSITIONS angstrom
Rb 2.970 3.509 3.865
Rb 0.000 7.040 3.198
Rb 2.970 0.028 0.674
Rb 0.000 3.559 6.388
Mo 2.970 6.947 5.415
Mo 0.000 3.416 1.648
O 4.602 2.334 1.694
O -1.632 5.866 5.368
O 1.632 5.866 5.368
O 1.337 2.334 1.694
F 2.970 0.182 3.489
F 0.000 3.713 3.574
F -1.647 1.447 5.365
F 4.617 4.978 1.698
F 1.323 4.978 1.698
F 1.647 1.447 5.365
F 2.970 3.708 6.831
F 0.000 0.177 0.232
CELL_PARAMETERS angstrom
5.939 0.000 0.000
0.000 7.062 0.000
-2.970 0.000 7.063
! - ΔE_f (raw): -2.758 eV per atom
! - Space group: Cmc2_1
! - Total moment: 0.0 Bohr magnetons per cell